# 1
VASP calculation (PBE-GGA) on Zr6Bi2Te after structural relaxation.

Lattice parameters (Å, degrees): 3.938 8.069 7.838 120.98 90.00 90.00
Element x y z (fractional)
Zr1 0.500 0.587 0.000
Zr2 0.500 0.400 0.396
Zr3 0.500 0.004 0.604
Zr4 0.000 0.273 0.000
Zr5 0.000 0.742 0.767
Zr6 0.000 0.975 0.233
Bi1 0.000 0.322 0.648
Bi2 0.000 0.673 0.352
Te1 0.500 0.025 0.000

Results
The value obtained for the energy is -65.64 eV per formula unit. As for the space group: Amm2 (38). The calculation puts the energy relative to the elements, uncorrected at -0.383 eV/atom. For the density of states at the Fermi level, the calculation gives 6.76 states/eV/f.u.


# 2
VASP calculation (PBE-GGA) on Zr4Bi2Te after structural relaxation.

Lattice parameters (Å, degrees): 5.198 5.198 8.522 72.24 72.24 90.00
Last column: magnetic moment on the atom in μB.
Element x y z (fractional)
Te1 0.000 0.000 0.000  0.00
Bi1 0.369 0.369 0.261  0.00
Bi2 0.631 0.631 0.739  0.00
Zr1 0.180 0.180 0.639  0.10
Zr2 0.820 0.820 0.361  0.10
Zr3 0.000 0.500 0.000  0.04
Zr4 0.500 0.000 0.000  0.04

Results
The value obtained for the energy is -42.75 eV per formula unit. As for the space group: I4/mmm (139). The calculation puts the energy relative to the elements, uncorrected at 0.336 eV/atom. For the density of states at the Fermi level, the calculation gives 11.48 states/eV/f.u.